[1]
Ac3ZnNi2O9 | PBE+U | relaxed

```
Ac3ZnNi2O9
1.0
5.585 0.000 0.000
-2.793 4.837 0.000
0.000 0.000 6.846
Ni Ac O Zn
2 3 9 1
Cartesian
0.000 3.225 1.132 Ni
2.793 1.612 5.714 Ni
0.000 3.225 4.577 Ac
2.793 1.612 2.269 Ac
0.000 0.000 0.000 Ac
2.793 3.190 4.599 O
1.426 0.823 4.599 O
-1.396 2.418 0.000 O
2.793 0.000 0.000 O
1.396 2.418 0.000 O
4.159 0.823 4.599 O
1.366 4.013 2.247 O
-1.366 4.013 2.247 O
0.000 1.647 2.247 O
0.000 0.000 3.423 Zn
```

As for the total energy: -6.372 eV per atom. The total magnetization is 1.00 μB per cell. For the calculated volume, the calculation gives 12.33 Å³/atom. The density of states at the Fermi level comes out at 2.29 states/eV/cell.



[2]
Ac3Zn2NiO8 | PBE+U | relaxed

```
Ac3Zn2NiO8
1.0
-2.475 -2.664 -4.330
5.153 2.242 -0.633
2.984 -6.254 2.143
O Zn Ac Ni
8 2 3 1
Cartesian
0.742 -6.091 -2.302 O
0.244 -1.399 -2.971 O
2.221 -1.760 -0.187 O
4.919 -0.586 -0.518 O
2.038 -4.696 -0.035 O
3.440 -4.917 -2.633 O
3.623 -1.981 -2.785 O
5.417 -5.278 0.151 O
3.189 -0.607 -1.449 Zn
2.472 -6.070 -1.371 Zn
4.490 -3.334 -0.515 Ac
1.171 -3.343 -2.305 Ac
0.000 0.000 0.000 Ac
1.492 -3.127 1.071 Ni
```

As for the total energy: -6.252 eV per atom. The total magnetization is 2.98 μB per cell. For the calculated volume, the calculation gives 14.35 Å³/atom.